Compound: Ga2RePt
Source: Alexandria via LeMat-Bulk
Functional: GGA-PBE
Structure: relaxed

Geometry as CIF:
```
data_Ga2RePt
_chemical_formula_sum 'Ga8 Re4 Pt4'
_symmetry_space_group_name_H-M 'F m -3 m'
_symmetry_Int_Tables_number 225
_symmetry_space_group_name_Hall '-F 4 2 3'
_cell_length_a 6.177
_cell_length_b 6.177
_cell_length_c 6.177
_cell_angle_alpha 90.00
_cell_angle_beta 90.00
_cell_angle_gamma 90.00
loop_
_atom_site_label
_atom_site_type_symbol
_atom_site_fract_x
_atom_site_fract_y
_atom_site_fract_z
Ga1 Ga 0.250 0.250 0.250
Re1 Re 0.000 0.000 0.000
Pt1 Pt 0.000 0.000 0.500
```

Summary:
- ΔE_f (eV/atom) = -0.110
- raw total energy (eV/atom) = -6.25
- total magnetic moment (μB/f.u.) = 0.00
- Fermi-level density of states (states/eV/f.u.) = 1.34